1 | The following is a DFT calculation (meta-GGA SCAN) of a crystal of Ni2IrCl relaxed with PBEsol.

CIF file:
```
data_Ni2IrCl
_chemical_formula_sum 'Ni8 Ir4 Cl4'
_space_group_name_H-M_alt 'F m -3 m'
_space_group_IT_number 225
_space_group_name_Hall '-F 4 2 3'
_cell_length_a 5.916
_cell_length_b 5.916
_cell_length_c 5.916
_cell_angle_alpha 90.00
_cell_angle_beta 90.00
_cell_angle_gamma 90.00
loop_
_atom_site_label
_atom_site_type_symbol
_atom_site_fract_x
_atom_site_fract_y
_atom_site_fract_z
Ni1 Ni 0.250 0.250 0.250
Ir1 Ir 0.000 0.000 0.000
Cl1 Cl 0.000 0.000 0.500
```

2 | The following is a DFT calculation (meta-GGA SCAN) of a crystal of Ni2IrCl relaxed with PBEsol.

CIF file:
```
data_Ni2IrCl
_chemical_formula_sum 'Ni2 Ir1 Cl1'
_space_group_name_H-M_alt 'P 4/m m m'
_space_group_IT_number 123
_space_group_name_Hall '-P 4 2'
_cell_length_a 4.437
_cell_length_b 4.437
_cell_length_c 2.638
_cell_angle_alpha 90.00
_cell_angle_beta 90.00
_cell_angle_gamma 90.00
loop_
_atom_site_label
_atom_site_type_symbol
_atom_site_fract_x
_atom_site_fract_y
_atom_site_fract_z
Ni1 Ni 0.000 0.500 0.000
Ir1 Ir 0.000 0.000 0.500
Cl1 Cl 0.500 0.500 0.500
```

Tell me which of them is the least stable. Sure, it is 1.